Entry from Alexandria: a geometry-optimized SrInFe2 structure (PBE-GGA).

abc: 4.1181 4.1181 18.3757
angles: 90.00 90.00 120.00
Last column: nearest neighbours and their distance in Å.
Space group R3m (No. 160, hexagonal axes)
Symmetry-distinct sites (fractional):
Sr 0.0000 0.0000 0.0000 x3  6 Fe 3.29, 4 In 3.51-3.54
In 0.0000 0.0000 0.1925 x3  6 Fe 2.69-2.70
Fe 0.0000 0.0000 0.4570 x3  3 Fe 2.38
Fe 0.0000 0.0000 0.7901 x3  3 Fe 2.38

The uncorrected energy is -5.168 eV/atom. The density comes out at 5798 kg/m³. The formation energy comes out at 65 kJ/mol of formula units.